ReSi2As | PBE | relaxed

CIF file:
```
data_ReSi2As
_chemical_formula_sum 'Re2 Si4 As2'
_cell_length_a 3.2862
_cell_length_b 4.5713
_cell_length_c 7.8429
_cell_angle_alpha 90.00
_cell_angle_beta 90.00
_cell_angle_gamma 90.00
_space_group_name_H-M_alt 'I m m 2'
_space_group_IT_number 44
loop_
_space_group_symop_operation_xyz
'x,y,z'
'-x,-y,z'
'-x,y,z'
'x,-y,z'
'x+1/2,y+1/2,z+1/2'
'-x+1/2,-y+1/2,z+1/2'
'-x+1/2,y+1/2,z+1/2'
'x+1/2,-y+1/2,z+1/2'
loop_
_atom_site_label
_atom_site_type_symbol
_atom_site_fract_x
_atom_site_fract_y
_atom_site_fract_z
Re1 Re 0.0000 0.0000 0.0000
Si1 Si 0.0000 0.0000 0.4787
Si2 Si 0.0000 0.5000 0.7554
As1 As 0.0000 0.5000 0.2113
```

Calculated values
For the magnetic moment, the calculation gives 0.00 μB per atom. The calculation puts the calculated density at 8944 kg/m³.

***

Re2SiAs | PBE | relaxed

CIF file:
```
data_Re2SiAs
_chemical_formula_sum 'Re2 Si1 As1'
_cell_length_a 2.8877
_cell_length_b 2.8877
_cell_length_c 7.7319
_cell_angle_alpha 90.00
_cell_angle_beta 90.00
_cell_angle_gamma 90.00
_space_group_name_H-M_alt 'P 4 m m'
_space_group_IT_number 99
loop_
_space_group_symop_operation_xyz
'x,y,z'
'-y,x,z'
'-x,-y,z'
'y,-x,z'
'-x,y,z'
'y,x,z'
'x,-y,z'
'-y,-x,z'
loop_
_atom_site_label
_atom_site_type_symbol
_atom_site_fract_x
_atom_site_fract_y
_atom_site_fract_z
Re1 Re 0.0000 0.0000 0.0000
Re2 Re 0.5000 0.5000 0.2226
Si1 Si 0.0000 0.0000 0.4361
As1 As 0.5000 0.5000 0.7694
```

Calculated values
For the magnetic moment, the calculation gives 0.00 μB per atom. The value obtained for the energy above the most stable polymorph in this dataset is 135 meV per atom. The calculation puts the calculated density at 12245 kg/m³.

***

Re2SiAs | PBE | relaxed

CIF file:
```
data_Re2SiAs
_chemical_formula_sum 'Re4 Si2 As2'
_cell_length_a 2.8837
_cell_length_b 4.7180
_cell_length_c 9.6672
_cell_angle_alpha 90.00
_cell_angle_beta 90.00
_cell_angle_gamma 90.00
_space_group_name_H-M_alt 'C m m 2'
_space_group_IT_number 35
loop_
_space_group_symop_operation_xyz
'x,y,z'
'-x,-y,z'
'-x,y,z'
'x,-y,z'
'x+1/2,y+1/2,z'
'-x+1/2,-y+1/2,z'
'-x+1/2,y+1/2,z'
'x+1/2,-y+1/2,z'
loop_
_atom_site_label
_atom_site_type_symbol
_atom_site_fract_x
_atom_site_fract_y
_atom_site_fract_z
Re1 Re 0.0000 0.0000 0.0000
Re2 Re 0.0000 0.5000 0.2299
Si1 Si 0.0000 0.5000 0.7774
As1 As 0.0000 0.0000 0.4612
```

Calculated values
For the magnetic moment, the calculation gives 0.00 μB per atom. The value obtained for the energy above the most stable polymorph in this dataset is 411 meV per atom. The calculation puts the calculated density at 12005 kg/m³.

***

ReSi2As | PBE | relaxed

CIF file:
```
data_ReSi2As
_chemical_formula_sum 'Re1 Si2 As1'
_cell_length_a 3.0540
_cell_length_b 3.0540
_cell_length_c 7.0692
_cell_angle_alpha 90.00
_cell_angle_beta 90.00
_cell_angle_gamma 90.00
_space_group_name_H-M_alt 'P 4 m m'
_space_group_IT_number 99
loop_
_space_group_symop_operation_xyz
'x,y,z'
'-y,x,z'
'-x,-y,z'
'y,-x,z'
'-x,y,z'
'y,x,z'
'x,-y,z'
'-y,-x,z'
loop_
_atom_site_label
_atom_site_type_symbol
_atom_site_fract_x
_atom_site_fract_y
_atom_site_fract_z
Re1 Re 0.0000 0.0000 0.0000
Si1 Si 0.0000 0.0000 0.3865
Si2 Si 0.5000 0.5000 0.1853
As1 As 0.5000 0.5000 0.7713
```

Calculated values
For the magnetic moment, the calculation gives 0.00 μB per atom. The calculation puts the calculated density at 7991 kg/m³.

***

Energy relative to the elements, uncorrected (computed, eV per atom): 0.402; 0.138; 0.414; 0.171
V (computed, Å³ per cell): 118; 64; 132; 66